# 1
6
Lattice="-1.061 3.614 -1.456 -0.341 -1.589 -3.697 -11.836 -2.587 2.203" Properties=species:S:1:pos:R:3 comment="Ac3Mg2Al (PBE, relaxed)" e_above_lowest_polymorph_mev_per_atom=6.3 e_form_ev_per_atom=-0.12 dos_at_fermi_per_ev_cell=6.488 pbc="T T T"
Al -6.619 -0.281 -1.475
Ac -4.093 -0.895 0.762
Ac -7.742 -1.692 1.441
Ac 0.000 0.000 0.000
Mg -2.703 0.575 -2.204
Mg -10.534 -1.137 -0.746


# 2
20
Lattice="-3.145 6.124 -4.586 -0.482 -0.814 -8.218 -15.819 -4.617 -2.778" Properties=species:S:1:pos:R:3 comment="Cs2KPaBr6 (PBE, relaxed)" e_tot_ev_per_cell=-76.08 dos_at_fermi_per_ev_cell=20.623 pbc="T T T"
Br -14.895 -3.062 -5.072
Br -4.311 4.161 -6.409
Br -16.465 -0.006 -7.361
Br -2.982 0.699 -8.221
Br -4.551 3.754 -10.510
Br -7.544 0.164 -5.845
Br -11.665 0.930 -5.680
Br -11.903 0.528 -9.737
Br -7.782 -0.238 -9.902
Br -10.350 -2.495 -7.473
Br -9.097 3.188 -8.109
Br -15.136 -3.468 -9.173
Cs -17.055 -0.561 -11.435
Cs -2.391 1.253 -4.147
Cs -9.831 2.598 -12.171
Cs -9.616 -1.905 -3.411
K -13.485 -1.298 -7.407
K -5.961 1.991 -8.175
Pa -9.723 0.346 -7.791
Pa 0.000 0.000 0.000


# 3
4
Lattice="-1.896 -0.623 6.134 -3.624 -1.204 -5.199 1.205 -3.639 0.003" Properties=species:S:1:pos:R:3 comment="SrIn2Cl (PBE, relaxed)" e_above_lowest_polymorph_mev_per_atom=247.1 dos_at_fermi_per_ev_cell=2.461 pbc="T T T"
Cl -1.209 -2.422 -2.598
Sr -0.346 -2.131 3.068
In 0.000 0.000 0.000
In -2.760 -0.914 0.468


# 4
10
Lattice="-1.054 -3.842 -7.674 8.473 0.762 -1.545 0.490 -2.774 1.321" Properties=species:S:1:pos:R:3 comment="InPt2Pb2 (PBE, relaxed)" e_above_lowest_polymorph_mev_per_atom=311.3 e_form_ev_per_atom=0.06 dos_at_fermi_per_ev_cell=6.917 pbc="T T T"
Pt 5.665 -1.497 -1.582
Pt 6.672 -3.280 -5.699
Pt 2.245 -4.356 -6.316
Pt 1.238 -2.573 -2.199
In 3.710 -1.540 -4.610
In 0.000 0.000 0.000
Pb 0.488 -2.342 -5.099
Pb 2.933 -0.249 -1.611
Pb 6.931 -0.737 -4.121
Pb 4.486 -2.831 -7.608


# 5
4
Lattice="2.953 0.000 0.000 0.000 2.953 0.000 0.000 0.000 8.928" Properties=species:S:1:pos:R:3 comment="Mg2InTc (PBE, relaxed)" e_form_ev_per_atom=0.20 dos_at_fermi_per_ev_cell=3.621 pbc="T T T"
Tc 1.477 1.477 2.232
In 1.477 1.477 6.696
Mg 0.000 0.000 0.281
Mg 0.000 0.000 4.183


# 6
6
Lattice="-2.316 -5.332 3.287 3.179 -2.208 5.441 -2.783 0.741 6.025" Properties=species:S:1:pos:R:3 comment="CsSn2 (PBE, relaxed)" e_above_lowest_polymorph_mev_per_atom=135.2 e_form_ev_per_atom=-0.09 dos_at_fermi_per_ev_cell=6.469 pbc="T T T"
Sn 0.192 -4.619 6.208
Sn -1.200 -4.249 9.221
Sn -0.042 -1.583 7.577
Sn -2.789 -3.145 6.500
Cs -0.480 -1.700 3.688
Cs 0.000 0.000 0.000